# 1
This record from Alexandria via LeMat-Bulk describes a relaxed KBaNa2Pd crystal. The functional is PBE-GGA.

Values from the calculation:
Its space-group type is P4/mmm, No. 123. As for the formation enthalpy at 0 K: -0.0466 eV per atom. The total energy is -2.217 eV/atom.

Unit cell a=6.0224 b=6.0224 c=5.9853 alpha=90.00 beta=90.00 gamma=90.00
Fractional positions:
1 K 0.0000 0.0000 0.0000
2 Ba 0.5000 0.5000 0.0000
3 Na 0.0000 0.5000 0.5000
4 Na 0.5000 0.0000 0.5000
5 Pd 0.5000 0.5000 0.5000

# 2
This record from Alexandria via LeMat-Bulk describes a relaxed KBa2NaPt crystal. The functional is PBE-GGA.

Values from the calculation:
Its space-group type is P4/mmm, No. 123. As for the formation enthalpy at 0 K: -0.2500 eV per atom. The relative energy among the computed polymorphs is 0.0000 eV/atom. The total energy is -2.711 eV/atom.

Unit cell a=6.2219 b=6.2219 c=6.1440 alpha=90.00 beta=90.00 gamma=90.00
Fractional positions:
1 K 0.0000 0.0000 0.0000
2 Ba 0.0000 0.5000 0.5000
3 Ba 0.5000 0.0000 0.5000
4 Na 0.5000 0.5000 0.0000
5 Pt 0.5000 0.5000 0.5000

# 3
This record from Alexandria via LeMat-Bulk describes a relaxed KBa2NaPt crystal. The functional is PBE-GGA.

Values from the calculation:
Its space-group type is P4/mmm, No. 123. As for the formation enthalpy at 0 K: -0.2465 eV per atom. The relative energy among the computed polymorphs is 0.0035 eV/atom. The total energy is -2.707 eV/atom.

Unit cell a=6.2069 b=6.2069 c=6.4884 alpha=90.00 beta=90.00 gamma=90.00
Fractional positions:
1 K 0.0000 0.0000 0.0000
2 Ba 0.0000 0.5000 0.5000
3 Ba 0.5000 0.0000 0.5000
4 Na 0.5000 0.5000 0.0000
5 Pt 0.0000 0.0000 0.5000

# 4
This record from Alexandria via LeMat-Bulk describes a relaxed KRbBaNa crystal. The functional is PBE-GGA.

Values from the calculation:
Its space-group type is P4mm, No. 99. As for the formation enthalpy at 0 K: 0.0456 eV per atom. The relative energy among the computed polymorphs is 0.0000 eV/atom. The total energy is -1.281 eV/atom.

Unit cell a=4.6212 b=4.6212 c=12.2016 alpha=90.00 beta=90.00 gamma=90.00
Fractional positions:
1 K 0.0000 0.0000 0.0000
2 Rb 0.5000 0.5000 0.6981
3 Ba 0.5000 0.5000 0.2766
4 Na 0.0000 0.0000 0.4746

# 5
This record from Alexandria via LeMat-Bulk describes a relaxed KRb2BaNa crystal. The functional is PBE-GGA.

Values from the calculation:
Its space-group type is P4/mmm, No. 123. As for the formation enthalpy at 0 K: 0.1914 eV per atom. The total energy is -1.064 eV/atom.

Unit cell a=7.3134 b=7.3134 c=7.4943 alpha=90.00 beta=90.00 gamma=90.00
Fractional positions:
1 K 0.0000 0.0000 0.0000
2 Rb 0.0000 0.5000 0.5000
3 Rb 0.5000 0.0000 0.5000
4 Ba 0.5000 0.5000 0.0000
5 Na 0.5000 0.5000 0.5000

# 6
This record from Alexandria via LeMat-Bulk describes a relaxed KRbBa2Na crystal. The functional is PBE-GGA.

Values from the calculation:
Its space-group type is P4/mmm, No. 123. As for the formation enthalpy at 0 K: 0.2319 eV per atom. The total energy is -1.214 eV/atom.

Unit cell a=7.2067 b=7.2067 c=7.2501 alpha=90.00 beta=90.00 gamma=90.00
Fractional positions:
1 K 0.0000 0.0000 0.0000
2 Rb 0.5000 0.5000 0.0000
3 Ba 0.0000 0.5000 0.5000
4 Ba 0.5000 0.0000 0.5000
5 Na 0.5000 0.5000 0.5000